1.
First-principles (GGA-PBE) data for ScHgS after structural relaxation, as listed in the Alexandria database.

Output
E_form (uncorrected) (eV/atom): -0.8202
Raw total energy (eV/atom): -4.41

```
6
Lattice="-0.117 2.820 2.236 1.967 -2.893 0.853 9.319 4.722 -5.471" Properties=species:S:1:pos:R:3 pbc="T T T"
S 2.502 -0.366 0.592
S 9.362 3.111 -3.436
Hg 2.967 1.504 -1.742
Hg 6.351 3.219 -3.729
Sc 5.932 1.372 -1.422
Sc 0.000 0.000 0.000
```


2.
First-principles (GGA-PBE) data for ScHgS3 after structural relaxation, as listed in the Alexandria database.

Output
Energy relative to the lowest polymorph listed for this composition (meV per atom): 552
E_form (uncorrected) (eV/atom): 0.2265
Raw total energy (eV/atom): -3.58

```
5
Lattice="-3.956 -1.926 -2.186 0.823 -4.275 2.277 -2.794 1.467 3.765" Properties=species:S:1:pos:R:3 pbc="T T T"
S -1.978 -0.963 -1.093
S -1.397 0.734 1.882
S 0.412 -2.137 1.138
Hg 0.000 0.000 0.000
Sc -2.964 -2.367 1.928
```


3.
First-principles (GGA-PBE) data for Sc3HgS after structural relaxation, as listed in the Alexandria database.

Output
Energy relative to the lowest polymorph listed for this composition (meV per atom): 0
E_form (uncorrected) (eV/atom): -0.9725
Raw total energy (eV/atom): -5.66

```
20
Lattice="3.639 0.000 0.000 0.000 8.370 0.000 0.000 0.000 13.808" Properties=species:S:1:pos:R:3 pbc="T T T"
Sc 0.910 5.889 9.919
Sc 0.910 1.704 10.793
Sc 2.729 0.250 8.428
Sc 2.729 4.435 12.283
Sc 0.910 3.935 1.525
Sc 2.729 5.559 6.686
Sc 2.729 6.666 3.015
Sc 2.729 2.481 3.889
Sc 2.729 1.374 0.218
Sc 0.910 8.120 5.379
Sc 0.910 6.995 13.590
Sc 0.910 2.810 7.122
Hg 0.910 0.607 2.416
Hg 2.729 7.762 11.392
Hg 0.910 4.792 4.488
Hg 2.729 3.578 9.320
S 2.729 5.548 0.769
S 0.910 7.007 7.673
S 2.729 1.363 6.135
S 0.910 2.822 13.038
```


4.
First-principles (GGA-PBE) data for ScHgS3 after structural relaxation, as listed in the Alexandria database.

Output
Energy relative to the lowest polymorph listed for this composition (meV per atom): 0
E_form (uncorrected) (eV/atom): -0.3252
Raw total energy (eV/atom): -4.13

```
5
Lattice="4.947 0.000 0.000 0.000 4.947 0.000 0.000 0.000 4.947" Properties=species:S:1:pos:R:3 pbc="T T T"
Hg 2.474 2.474 2.474
S 0.000 0.000 2.474
S 2.474 0.000 0.000
S 0.000 2.474 0.000
Sc 0.000 0.000 0.000
```


5.
First-principles (GGA-PBE) data for Sc3HgS after structural relaxation, as listed in the Alexandria database.

Output
Energy relative to the lowest polymorph listed for this composition (meV per atom): 136
E_form (uncorrected) (eV/atom): -0.8365
Raw total energy (eV/atom): -5.52

```
5
Lattice="4.799 0.000 0.000 0.000 4.799 0.000 0.000 0.000 4.799" Properties=species:S:1:pos:R:3 pbc="T T T"
Sc 0.000 0.000 2.399
Sc 0.000 2.399 0.000
Sc 2.399 0.000 0.000
Hg 2.399 2.399 2.399
S 0.000 0.000 0.000
```


6.
First-principles (GGA-PBE) data for Sc4HgS2 after structural relaxation, as listed in the Alexandria database.

Output
E_form (uncorrected) (eV/atom): -1.2488
Raw total energy (eV/atom): -6.09

```
14
Lattice="3.692 0.000 0.000 -1.846 6.090 0.000 0.000 0.000 12.704" Properties=species:S:1:pos:R:3 pbc="T T T"
Hg 0.000 4.778 3.176
Hg 1.846 1.312 9.528
Sc 0.000 0.922 3.176
Sc 1.846 3.238 1.486
Sc 0.000 2.852 11.217
Sc 1.846 0.000 0.000
Sc 1.846 3.238 4.866
Sc 1.846 0.000 6.352
Sc 0.000 2.852 7.838
Sc 1.846 5.169 9.528
S 1.846 4.452 11.968
S 0.000 1.638 5.617
S 0.000 1.638 0.735
S 1.846 4.452 7.087
```


7.
First-principles (GGA-PBE) data for YSc2HgS after structural relaxation, as listed in the Alexandria database.

Output
E_form (uncorrected) (eV/atom): -0.8287
Raw total energy (eV/atom): -5.54

```
5
Lattice="-3.347 -3.134 1.505 -1.090 -1.037 -4.586 3.513 -3.746 0.012" Properties=species:S:1:pos:R:3 pbc="T T T"
Hg -0.462 -3.959 -1.534
S 0.000 0.000 0.000
Sc -1.674 -1.567 0.752
Sc -0.545 -0.519 -2.293
Y 1.757 -1.873 0.006
```


8.
First-principles (GGA-PBE) data for HgSeS5 after structural relaxation, as listed in the Alexandria database.

Output
E_form (uncorrected) (eV/atom): 0.1894
Raw total energy (eV/atom): -3.30

```
14
Lattice="9.951 2.475 1.289 5.866 8.410 1.289 2.176 1.498 6.135" Properties=species:S:1:pos:R:3 pbc="T T T"
Se 1.088 0.749 3.068
Se 0.000 0.000 0.000
Hg 10.302 5.459 5.891
Hg 7.691 6.924 2.823
S 9.409 4.427 2.823
S 6.148 5.152 3.796
S 7.025 6.280 6.854
S 9.897 7.732 1.851
S 8.584 7.956 5.891
S 7.287 3.570 3.786
S 10.706 8.813 4.927
S 10.968 6.103 1.860
S 11.844 7.232 4.918
S 8.096 4.652 6.863
```


9.
First-principles (GGA-PBE) data for Hg3Se2S after structural relaxation, as listed in the Alexandria database.

Output
Energy relative to the lowest polymorph listed for this composition (meV per atom): 4
E_form (uncorrected) (eV/atom): -0.1796
Raw total energy (eV/atom): -2.18

```
12
Lattice="7.137 0.000 0.000 0.000 7.561 -0.045 0.000 -3.743 6.569" Properties=species:S:1:pos:R:3 pbc="T T T"
Hg 6.684 4.397 3.310
Hg 6.563 0.598 1.022
Hg 2.995 3.219 5.501
Hg 3.116 3.086 1.069
Hg 3.116 -0.580 3.214
Hg 6.684 0.731 5.455
Se 3.964 0.688 5.451
Se 0.396 3.129 1.073
Se 0.396 -0.597 3.254
Se 3.964 4.415 3.270
S 3.955 0.624 1.066
S 0.387 3.193 5.458
```


10.
First-principles (GGA-PBE) data for Hg2Se2S after structural relaxation, as listed in the Alexandria database.

Output
Energy relative to the lowest polymorph listed for this composition (meV per atom): 319
E_form (uncorrected) (eV/atom): 0.5025
Raw total energy (eV/atom): -1.84

```
5
Lattice="-3.550 1.665 -2.265 0.830 -2.864 -3.407 -5.177 -4.989 -0.077" Properties=species:S:1:pos:R:3 pbc="T T T"
Hg -5.044 -1.962 -2.589
Hg -2.853 -4.227 -3.160
Se -2.284 -1.663 -2.168
Se -5.613 -4.526 -3.581
S 0.000 0.000 0.000
```


11.
First-principles (GGA-PBE) data for Hg2SeS after structural relaxation, as listed in the Alexandria database.

Output
Energy relative to the lowest polymorph listed for this composition (meV per atom): 0
E_form (uncorrected) (eV/atom): -0.1702
Raw total energy (eV/atom): -2.22

```
8
Lattice="-4.575 -1.910 3.610 3.738 -4.142 2.546 1.224 1.066 7.324" Properties=species:S:1:pos:R:3 pbc="T T T"
Hg 0.658 -1.529 7.838
Hg -2.021 -1.417 4.354
Hg 0.133 -4.436 10.843
Hg 2.005 -2.588 3.925
Se 0.000 0.000 0.000
Se -1.884 -1.935 7.006
S -0.418 -3.026 3.078
S 2.272 -3.051 6.474
```


12.
First-principles (GGA-PBE) data for HgSe2S after structural relaxation, as listed in the Alexandria database.

Output
Energy relative to the lowest polymorph listed for this composition (meV per atom): 407
E_form (uncorrected) (eV/atom): 0.6400
Raw total energy (eV/atom): -2.21

```
4
Lattice="0.350 -4.868 0.310 -2.598 -2.836 -3.021 2.255 -2.520 -3.533" Properties=species:S:1:pos:R:3 pbc="T T T"
S 0.000 0.000 0.000
Se 0.005 -7.668 -4.682
Se 0.002 -2.556 -1.561
Hg 0.004 -5.112 -3.122
```


Total magnetic moment (μB per formula unit)
0.00; 0.00; 0.00; 0.00; 0.00; 0.00; 0.00; 0.00; 0.00; 1.94; 0.00; 0.00